# 1
# SrCu2Au

A relaxed SrCu2Au crystal (GGA-PBEsol, Alexandria). Values from VASP.

Quantum ESPRESSO input file:
```
&SYSTEM
  ibrav = 0, nat = 4, ntyp = 3
/
ATOMIC_SPECIES
Sr 87.62 Sr.upf
Cu 63.55 Cu.upf
Au 196.97 Au.upf
CELL_PARAMETERS angstrom
2.141 1.236 5.220
-2.141 1.236 5.220
0.000 -2.472 5.220
ATOMIC_POSITIONS crystal
Sr 0.000 0.000 0.000
Cu 0.488 0.488 0.488
Cu 0.806 0.806 0.806
Au 0.198 0.198 0.198
```

Summary:
formation energy from the elements = -0.24 eV/atom
excess energy over the best structure of this formula in the dataset = 0 meV/atom
spin magnetization = 0.000 Bohr magnetons per cell

# 2
# CdTc2W

A relaxed CdTc2W crystal (GGA-PBEsol, Alexandria). Values from VASP.

Quantum ESPRESSO input file:
```
&SYSTEM
  ibrav = 0, nat = 4, ntyp = 3
/
ATOMIC_SPECIES
Cd 112.41 Cd.upf
Tc 98.00 Tc.upf
W 183.84 W.upf
CELL_PARAMETERS angstrom
1.388 0.802 9.352
-1.388 0.802 9.352
0.000 -1.603 9.352
ATOMIC_POSITIONS crystal
Cd 0.000 0.000 0.000
Tc 0.245 0.245 0.245
Tc 0.506 0.506 0.506
W 0.758 0.758 0.758
```

Summary:
formation energy from the elements = 0.27 eV/atom
spin magnetization = 0.000 Bohr magnetons per cell

# 3
# SrSi2Ag2

A relaxed SrSi2Ag2 crystal (GGA-PBEsol, Alexandria). Values from VASP.

Quantum ESPRESSO input file:
```
&SYSTEM
  ibrav = 0, nat = 5, ntyp = 3
/
ATOMIC_SPECIES
Sr 87.62 Sr.upf
Si 28.09 Si.upf
Ag 107.87 Ag.upf
CELL_PARAMETERS angstrom
-2.164 2.164 5.205
2.164 -2.164 5.205
2.164 2.164 -5.205
ATOMIC_POSITIONS crystal
Sr 0.000 0.000 0.000
Si 0.388 0.388 0.000
Si 0.612 0.612 0.000
Ag 0.250 0.750 0.500
Ag 0.750 0.250 0.500
```

Summary:
ΔE_f (raw) = -355 meV per atom
spin magnetization = 0.000 Bohr magnetons per cell

# 4
# CrAs2

A relaxed CrAs2 crystal (GGA-PBEsol, Alexandria). Values from VASP.

Quantum ESPRESSO input file:
```
&SYSTEM
  ibrav = 0, nat = 6, ntyp = 2
/
ATOMIC_SPECIES
Cr 52.00 Cr.upf
As 74.92 As.upf
CELL_PARAMETERS angstrom
4.401 -1.586 0.000
4.401 1.586 0.000
-3.645 0.000 6.354
ATOMIC_POSITIONS crystal
Cr 0.153 0.153 0.200
Cr 0.847 0.847 0.800
As 0.150 0.150 0.537
As 0.404 0.404 0.107
As 0.596 0.596 0.893
As 0.850 0.850 0.463
```

Summary:
formation energy from the elements = -0.19 eV/atom
spin magnetization = 0.001 Bohr magnetons per cell

# 5
# TaNi3Te

A relaxed TaNi3Te crystal (GGA-PBEsol, Alexandria). Values from VASP.

Quantum ESPRESSO input file:
```
&SYSTEM
  ibrav = 0, nat = 5, ntyp = 3
/
ATOMIC_SPECIES
Ta 180.95 Ta.upf
Ni 58.69 Ni.upf
Te 127.60 Te.upf
CELL_PARAMETERS angstrom
4.525 0.000 0.000
0.000 4.525 0.000
0.000 0.000 4.525
ATOMIC_POSITIONS crystal
Ta 0.000 0.000 0.000
Ni 0.000 0.000 0.500
Ni 0.000 0.500 0.000
Ni 0.500 0.000 0.000
Te 0.500 0.500 0.500
```

Summary:
ΔE_f (raw) = 1194 meV per atom
spin magnetization = 0.000 Bohr magnetons per cell

# 6
# MnBeTe2

A relaxed MnBeTe2 crystal (GGA-PBEsol, Alexandria). Values from VASP.

Quantum ESPRESSO input file:
```
&SYSTEM
  ibrav = 0, nat = 4, ntyp = 3
/
ATOMIC_SPECIES
Mn 54.94 Mn.upf
Be 9.01 Be.upf
Te 127.60 Te.upf
CELL_PARAMETERS angstrom
3.358 0.000 0.000
0.000 3.358 0.000
0.000 0.000 6.611
ATOMIC_POSITIONS crystal
Mn 0.000 0.000 0.000
Be 0.000 0.000 0.500
Te 0.500 0.500 0.246
Te 0.500 0.500 0.754
```

Summary:
ΔE_f (raw) = 513 meV per atom
spin magnetization = 3.096 Bohr magnetons per cell

# 7
# Os2PtSe

A relaxed Os2PtSe crystal (GGA-PBEsol, Alexandria). Values from VASP.

Quantum ESPRESSO input file:
```
&SYSTEM
  ibrav = 0, nat = 4, ntyp = 3
/
ATOMIC_SPECIES
Os 190.23 Os.upf
Pt 195.08 Pt.upf
Se 78.96 Se.upf
CELL_PARAMETERS angstrom
1.405 0.811 8.709
-1.405 0.811 8.709
0.000 -1.623 8.709
ATOMIC_POSITIONS crystal
Os 0.000 0.000 0.000
Os 0.254 0.254 0.254
Pt 0.753 0.753 0.753
Se 0.509 0.509 0.509
```

Summary:
ΔE_f (raw) = 312 meV per atom
spin magnetization = 0.000 Bohr magnetons per cell

# 8
# AsOs2Rh

A relaxed AsOs2Rh crystal (GGA-PBEsol, Alexandria). Values from VASP.

Quantum ESPRESSO input file:
```
&SYSTEM
  ibrav = 0, nat = 4, ntyp = 3
/
ATOMIC_SPECIES
As 74.92 As.upf
Os 190.23 Os.upf
Rh 102.91 Rh.upf
CELL_PARAMETERS angstrom
1.394 0.805 8.369
-1.394 0.805 8.369
0.000 -1.609 8.369
ATOMIC_POSITIONS crystal
As 0.000 0.000 0.000
Os 0.499 0.499 0.499
Os 0.749 0.749 0.749
Rh 0.255 0.255 0.255
```

Summary:
formation energy from the elements = 0.16 eV/atom
spin magnetization = 0.000 Bohr magnetons per cell

# 9
# InSb2Ru

A relaxed InSb2Ru crystal (GGA-PBEsol, Alexandria). Values from VASP.

Quantum ESPRESSO input file:
```
&SYSTEM
  ibrav = 0, nat = 4, ntyp = 3
/
ATOMIC_SPECIES
In 114.82 In.upf
Sb 121.76 Sb.upf
Ru 101.07 Ru.upf
CELL_PARAMETERS angstrom
4.923 -1.588 0.000
4.923 1.588 0.000
-2.269 0.000 5.867
ATOMIC_POSITIONS crystal
In 0.000 0.000 0.000
Sb 0.653 0.653 0.649
Sb 0.844 0.844 0.370
Ru 0.274 0.274 0.008
```

Summary:
ΔE_f (raw) = -11 meV per atom
spin magnetization = 0.000 Bohr magnetons per cell

# 10
# ErS2

A relaxed ErS2 crystal (GGA-PBEsol, Alexandria). Values from VASP.

Quantum ESPRESSO input file:
```
&SYSTEM
  ibrav = 0, nat = 6, ntyp = 2
/
ATOMIC_SPECIES
Er 167.26 Er.upf
S 32.06 S.upf
CELL_PARAMETERS angstrom
3.774 0.000 0.000
0.000 3.774 0.000
0.000 0.000 7.769
ATOMIC_POSITIONS crystal
Er 0.250 0.250 0.227
Er 0.750 0.750 0.773
S 0.250 0.250 0.868
S 0.250 0.750 0.500
S 0.750 0.250 0.500
S 0.750 0.750 0.132
```

Summary:
ΔE_f (raw) = -1769 meV per atom
spin magnetization = 0.000 Bohr magnetons per cell

# 11
# WAu3

A relaxed WAu3 crystal (GGA-PBEsol, Alexandria). Values from VASP.

Quantum ESPRESSO input file:
```
&SYSTEM
  ibrav = 0, nat = 4, ntyp = 2
/
ATOMIC_SPECIES
W 183.84 W.upf
Au 196.97 Au.upf
CELL_PARAMETERS angstrom
-1.375 2.487 4.956
1.375 -2.487 4.956
1.375 2.487 -4.956
ATOMIC_POSITIONS crystal
W 0.000 0.000 0.000
Au 0.241 0.741 0.500
Au 0.500 0.500 0.000
Au 0.759 0.259 0.500
```

Summary:
formation energy from the elements = 0.41 eV/atom
spin magnetization = 0.000 Bohr magnetons per cell

# 12
# BaScZn

A relaxed BaScZn crystal (GGA-PBEsol, Alexandria). Values from VASP.

Quantum ESPRESSO input file:
```
&SYSTEM
  ibrav = 0, nat = 3, ntyp = 3
/
ATOMIC_SPECIES
Ba 137.33 Ba.upf
Sc 44.96 Sc.upf
Zn 65.41 Zn.upf
CELL_PARAMETERS angstrom
3.635 0.000 0.000
-1.817 3.148 0.000
0.000 0.000 7.582
ATOMIC_POSITIONS crystal
Ba 0.000 0.000 0.000
Sc 0.333 0.667 0.579
Zn 0.667 0.333 0.340
```

Summary:
formation energy from the elements = 0.20 eV/atom
excess energy over the best structure of this formula in the dataset = 0 meV/atom
spin magnetization = 0.000 Bohr magnetons per cell

# 13
# NaRh3Br

A relaxed NaRh3Br crystal (GGA-PBEsol, Alexandria). Values from VASP.

Quantum ESPRESSO input file:
```
&SYSTEM
  ibrav = 0, nat = 5, ntyp = 3
/
ATOMIC_SPECIES
Na 22.99 Na.upf
Rh 102.91 Rh.upf
Br 79.90 Br.upf
CELL_PARAMETERS angstrom
4.570 0.000 0.000
0.000 4.570 0.000
0.000 0.000 4.570
ATOMIC_POSITIONS crystal
Na 0.000 0.000 0.000
Rh 0.000 0.500 0.500
Rh 0.500 0.000 0.500
Rh 0.500 0.500 0.000
Br 0.500 0.500 0.500
```

Summary:
ΔE_f (raw) = 860 meV per atom
spin magnetization = 0.005 Bohr magnetons per cell

# 14
# Cu2HgO

A relaxed Cu2HgO crystal (GGA-PBEsol, Alexandria). Values from VASP.

Quantum ESPRESSO input file:
```
&SYSTEM
  ibrav = 0, nat = 8, ntyp = 3
/
ATOMIC_SPECIES
Cu 63.55 Cu.upf
Hg 200.59 Hg.upf
O 16.00 O.upf
CELL_PARAMETERS angstrom
-2.519 2.519 5.276
2.519 -2.519 5.276
2.519 2.519 -5.276
ATOMIC_POSITIONS crystal
Cu 0.000 0.000 0.000
Cu 0.000 0.000 0.500
Cu 0.000 0.500 0.000
Cu 0.500 0.000 0.500
Hg 0.375 0.625 0.750
Hg 0.625 0.375 0.250
O 0.125 0.875 0.250
O 0.875 0.125 0.750
```

Summary:
ΔE_f (raw) = -228 meV per atom
spin magnetization = 0.000 Bohr magnetons per cell

# 15
# Fe2SiBr

A relaxed Fe2SiBr crystal (GGA-PBEsol, Alexandria). Values from VASP.

Quantum ESPRESSO input file:
```
&SYSTEM
  ibrav = 0, nat = 4, ntyp = 3
/
ATOMIC_SPECIES
Fe 55.84 Fe.upf
Si 28.09 Si.upf
Br 79.90 Br.upf
CELL_PARAMETERS angstrom
2.978 0.000 0.000
0.000 2.978 0.000
0.000 0.000 6.202
ATOMIC_POSITIONS crystal
Fe 0.000 0.000 0.189
Fe 0.000 0.000 0.811
Si 0.500 0.500 0.000
Br 0.500 0.500 0.500
```

Summary:
ΔE_f (raw) = 213 meV per atom
excess energy over the best structure of this formula in the dataset = 67 meV/atom
spin magnetization = 3.540 Bohr magnetons per cell

# 16
# TlP2Br

A relaxed TlP2Br crystal (GGA-PBEsol, Alexandria). Values from VASP.

Quantum ESPRESSO input file:
```
&SYSTEM
  ibrav = 0, nat = 4, ntyp = 3
/
ATOMIC_SPECIES
Tl 204.38 Tl.upf
P 30.97 P.upf
Br 79.90 Br.upf
CELL_PARAMETERS angstrom
5.746 -1.700 0.000
5.746 1.700 0.000
-0.671 0.000 5.043
ATOMIC_POSITIONS crystal
Tl 0.000 0.000 0.000
P 0.233 0.233 0.134
P 0.767 0.767 0.866
Br 0.500 0.500 0.500
```

Summary:
ΔE_f (raw) = -45 meV per atom
excess energy over the best structure of this formula in the dataset = 0 meV/atom
spin magnetization = 0.000 Bohr magnetons per cell

# 17
# K2CdHg

A relaxed K2CdHg crystal (GGA-PBEsol, Alexandria). Values from VASP.

Quantum ESPRESSO input file:
```
&SYSTEM
  ibrav = 0, nat = 4, ntyp = 3
/
ATOMIC_SPECIES
K 39.10 K.upf
Cd 112.41 Cd.upf
Hg 200.59 Hg.upf
CELL_PARAMETERS angstrom
0.000 3.985 3.985
3.985 0.000 3.985
3.985 3.985 0.000
ATOMIC_POSITIONS crystal
K 0.000 0.000 0.000
K 0.250 0.250 0.250
Cd 0.500 0.500 0.500
Hg 0.750 0.750 0.750
```

Summary:
formation energy from the elements = -0.03 eV/atom
spin magnetization = 0.000 Bohr magnetons per cell

# 18
# TaMo

A relaxed TaMo crystal (GGA-PBEsol, Alexandria). Values from VASP.

Quantum ESPRESSO input file:
```
&SYSTEM
  ibrav = 0, nat = 8, ntyp = 2
/
ATOMIC_SPECIES
Ta 180.95 Ta.upf
Mo 95.94 Mo.upf
CELL_PARAMETERS angstrom
-1.595 2.275 8.991
1.595 -2.275 8.991
1.595 2.275 -8.991
ATOMIC_POSITIONS crystal
Ta 0.000 0.000 0.000
Ta 0.246 0.246 0.000
Ta 0.742 0.742 0.000
Ta 0.871 0.371 0.500
Mo 0.121 0.621 0.500
Mo 0.374 0.874 0.500
Mo 0.497 0.497 0.000
Mo 0.619 0.119 0.500
```

Summary:
formation energy from the elements = -0.11 eV/atom
spin magnetization = 0.000 Bohr magnetons per cell

# 19
# YTaW2

A relaxed YTaW2 crystal (GGA-PBEsol, Alexandria). Values from VASP.

Quantum ESPRESSO input file:
```
&SYSTEM
  ibrav = 0, nat = 4, ntyp = 3
/
ATOMIC_SPECIES
Y 88.91 Y.upf
Ta 180.95 Ta.upf
W 183.84 W.upf
CELL_PARAMETERS angstrom
2.879 -4.704 0.000
2.879 4.704 0.000
-0.924 0.000 2.650
ATOMIC_POSITIONS crystal
Y 0.000 0.000 0.000
Ta 0.500 0.500 0.000
W 0.000 0.500 0.500
W 0.500 0.000 0.500
```

Summary:
formation energy from the elements = 0.47 eV/atom
excess energy over the best structure of this formula in the dataset = 0 meV/atom
spin magnetization = 0.000 Bohr magnetons per cell

# 20
# BaSr2Ag2

A relaxed BaSr2Ag2 crystal (GGA-PBEsol, Alexandria). Values from VASP.

Quantum ESPRESSO input file:
```
&SYSTEM
  ibrav = 0, nat = 10, ntyp = 3
/
ATOMIC_SPECIES
Ba 137.33 Ba.upf
Sr 87.62 Sr.upf
Ag 107.87 Ag.upf
CELL_PARAMETERS angstrom
8.550 0.000 0.000
0.000 8.550 0.000
0.000 0.000 4.652
ATOMIC_POSITIONS crystal
Ba 0.000 0.000 0.000
Ba 0.500 0.500 0.000
Sr 0.165 0.335 0.500
Sr 0.335 0.835 0.500
Sr 0.665 0.165 0.500
Sr 0.835 0.665 0.500
Ag 0.117 0.617 0.000
Ag 0.383 0.117 0.000
Ag 0.617 0.883 0.000
Ag 0.883 0.383 0.000
```

Summary:
formation energy from the elements = -0.20 eV/atom
spin magnetization = 0.000 Bohr magnetons per cell